1.
Below is a relaxed structure of Tc3NiGe6, with properties calculated at the PBE level.

Computed properties:
For the density, the calculation gives 8.05 Mg/m³. The space group is No. 14. Its total energy is -6.47 eV per atom. The calculation puts the density of states at the Fermi level at 5.75 states/eV/f.u. The calculation puts the spin magnetization at 0.0000 μB per atom.

Lattice parameters (Å, degrees): 6.1642 6.4543 9.4190 90.00 119.72 90.00
Fractional positions:
Tc 0.0000 0.0000 0.0000
Tc 0.0000 0.5000 0.5000
Tc 0.2084 0.1578 0.7559
Tc 0.2084 0.3422 0.2559
Tc 0.7916 0.6578 0.7441
Tc 0.7916 0.8422 0.2441
Ni 0.5000 0.0000 0.5000
Ni 0.5000 0.5000 0.0000
Ge 0.0698 0.1403 0.4314
Ge 0.0698 0.3597 0.9314
Ge 0.3049 0.6744 0.4374
Ge 0.3049 0.8256 0.9374
Ge 0.4264 0.0137 0.2325
Ge 0.4264 0.4863 0.7325
Ge 0.5736 0.5137 0.2675
Ge 0.5736 0.9863 0.7675
Ge 0.6951 0.1744 0.0626
Ge 0.6951 0.3256 0.5626
Ge 0.9302 0.6403 0.0686
Ge 0.9302 0.8597 0.5686

---

2.
Below is a relaxed structure of Th2TcNi3Ge4, with properties calculated at the PBE level.

Computed properties:
For the density, the calculation gives 9.84 Mg/m³. The space group is No. 115. Its total energy is -6.76 eV per atom. The calculation puts the density of states at the Fermi level at 6.19 states/eV/f.u. The calculation puts the spin magnetization at 0.0000 μB per atom.

Lattice parameters (Å, degrees): 4.2062 4.2062 9.8160 90.00 90.00 90.00
Fractional positions:
Th 0.0000 0.5000 0.2490
Th 0.5000 0.0000 0.7510
Tc 0.0000 0.0000 0.5000
Ni 0.0000 0.5000 0.8802
Ni 0.5000 0.0000 0.1198
Ni 0.5000 0.5000 0.5000
Ge 0.0000 0.0000 0.0000
Ge 0.0000 0.5000 0.6353
Ge 0.5000 0.0000 0.3647
Ge 0.5000 0.5000 0.0000

---

3.
Below is a relaxed structure of TmTcNiGe2, with properties calculated at the PBE level.

Computed properties:
For the density, the calculation gives 9.14 Mg/m³. The space group is No. 119. Its total energy is -6.49 eV per atom. The calculation puts the density of states at the Fermi level at 2.52 states/eV/f.u. The calculation puts the spin magnetization at 0.0000 μB per atom.

Lattice parameters (Å, degrees): 5.9070 5.9070 5.9070 139.67 139.67 58.36
Fractional positions:
Tm 0.0000 0.0000 0.0000
Tc 0.2500 0.7500 0.5000
Ni 0.7500 0.2500 0.5000
Ge 0.3772 0.3772 0.0000
Ge 0.6228 0.6228 0.0000

---

4.
Below is a relaxed structure of V2TcNi7Ge2, with properties calculated at the PBE level.

Computed properties:
For the density, the calculation gives 8.42 Mg/m³. The space group is No. 65. Its total energy is -6.61 eV per atom. The calculation puts the density of states at the Fermi level at 7.73 states/eV/f.u. The calculation puts the spin magnetization at 0.0279 μB per atom.

Lattice parameters (Å, degrees): 3.5808 3.5808 11.6280 90.00 90.00 90.05
Fractional positions:
V 0.0000 0.0000 0.1758
V 0.0000 0.0000 0.8242
Tc 0.5000 0.5000 0.5000
Ni 0.0000 0.0000 0.5000
Ni 0.0000 0.5000 0.3433
Ni 0.0000 0.5000 0.6567
Ni 0.2502 0.2502 0.0000
Ni 0.5000 0.0000 0.3433
Ni 0.5000 0.0000 0.6567
Ni 0.7498 0.7498 0.0000
Ge 0.5000 0.5000 0.1896
Ge 0.5000 0.5000 0.8104

---

5.
Below is a relaxed structure of ZnTcNiGe, with properties calculated at the PBE level.

Computed properties:
For the density, the calculation gives 9.19 Mg/m³. The space group is No. 216. Its total energy is -5.58 eV per atom. The calculation puts the density of states at the Fermi level at 2.43 states/eV/f.u. The calculation puts the spin magnetization at 0.0000 μB per atom.

Lattice parameters (Å, degrees): 4.2238 4.2238 4.2238 60.00 60.00 60.00
Fractional positions:
Zn 0.0000 0.0000 0.0000
Tc 0.2500 0.2500 0.2500
Ni 0.7500 0.7500 0.7500
Ge 0.5000 0.5000 0.5000

---

6.
Below is a relaxed structure of NiGeTe, with properties calculated at the PBE level.

Computed properties:
For the density, the calculation gives 6.73 Mg/m³. The space group is No. 156. Its total energy is -4.60 eV per atom. The formation energy without anion corrections is -0.2 eV per formula unit. The calculation puts the density of states at the Fermi level at 1.21 states/eV/f.u. The calculation puts the spin magnetization at 0.0000 μB per atom.

Lattice parameters (Å, degrees): 3.8587 3.8587 4.9563 90.00 90.00 120.00
Fractional positions:
Ni 0.0000 0.0000 0.0000
Ge 0.3333 0.6667 0.8145
Te 0.6667 0.3333 0.2559

---

7.
Below is a relaxed structure of NiGeTe, with properties calculated at the PBE level.

Computed properties:
For the density, the calculation gives 7.22 Mg/m³. The space group is No. 216. Its total energy is -4.59 eV per atom. The formation energy without anion corrections is -0.2 eV per formula unit. The calculation puts the density of states at the Fermi level at 0.93 states/eV/f.u. The calculation puts the spin magnetization at 0.0000 μB per atom.

Lattice parameters (Å, degrees): 4.3828 4.3828 4.3828 60.00 60.00 60.00
Fractional positions:
Ni 0.0000 0.0000 0.0000
Ge 0.7500 0.7500 0.7500
Te 0.2500 0.2500 0.2500

---

8.
Below is a relaxed structure of NiGeTe, with properties calculated at the PBE level.

Computed properties:
For the density, the calculation gives 7.36 Mg/m³. The space group is No. 14. Its total energy is -4.71 eV per atom. The formation energy without anion corrections is -0.6 eV per formula unit. The calculation puts the density of states at the Fermi level at 0.90 states/eV/f.u. The calculation puts the spin magnetization at 0.0000 μB per atom.

Lattice parameters (Å, degrees): 6.3347 6.1381 6.2733 90.00 106.67 90.00
Fractional positions:
Ni 0.2387 0.0137 0.2516
Ni 0.2387 0.4863 0.7516
Ni 0.7613 0.5137 0.2484
Ni 0.7613 0.9863 0.7484
Ge 0.1280 0.1441 0.8707
Ge 0.1280 0.3559 0.3707
Ge 0.8720 0.6441 0.6293
Ge 0.8720 0.8559 0.1293
Te 0.3464 0.6325 0.1551
Te 0.3464 0.8675 0.6551
Te 0.6536 0.1325 0.3449
Te 0.6536 0.3675 0.8449